NaZn5Pd4 | Alexandria via LeMat-Bulk | GGA-PBE | optimized geometry; DFT formation energy = -0.41 eV per atom; mass density = 8.1 Mg/m³; SG = P4/mmm, No. 123
1.0
3.094 0.000 0.000
0.000 3.094 0.000
0.000 0.000 16.519
Na Zn Pd
1 5 4
Direct
0.000 0.000 0.000 Na
0.500 0.500 0.135 Zn
0.500 0.500 0.317 Zn
0.500 0.500 0.500 Zn
0.500 0.500 0.683 Zn
0.500 0.500 0.865 Zn
0.000 0.000 0.225 Pd
0.000 0.000 0.409 Pd
0.000 0.000 0.591 Pd
0.000 0.000 0.775 Pd

---

Na2Zn3Pd | Alexandria via LeMat-Bulk | GGA-PBE | optimized geometry; DFT formation energy = -0.21 eV per atom; mass density = 5.2 Mg/m³; SG = C2/m, No. 12
1.0
4.585 -2.716 0.000
4.585 2.716 0.000
-2.907 0.000 4.453
Na Zn Pd
2 3 1
Direct
0.127 0.127 0.374 Na
0.873 0.873 0.626 Na
0.000 0.500 0.000 Zn
0.500 0.000 0.000 Zn
0.500 0.500 0.500 Zn
0.500 0.500 0.000 Pd

---

Question: What is the DFT formation energy in the first record?
Answer: -0.41 eV per atom

---

Question: Which value of DFT formation energy does entry 1 give?
Answer: -0.41 eV per atom

---

Question: Which of these has the highest DFT formation energy?
Answer: Na2Zn3Pd